Entry 1:
# GGA-PBEsol InAgI2, relaxed
# Crystal system: tetragonal
# Total energy: -2.694 eV per atom
data_InAgI2
_chemical_formula_sum 'In4 Ag4 I8'
_cell_length_a 8.180
_cell_length_b 8.180
_cell_length_c 8.073
_cell_angle_alpha 90.00
_cell_angle_beta 90.00
_cell_angle_gamma 90.00
_symmetry_space_group_name_H-M 'I -4 2 d'
_symmetry_Int_Tables_number 122
_symmetry_space_group_name_Hall 'I -4 2bw'
loop_
_atom_site_label
_atom_site_fract_x
_atom_site_fract_y
_atom_site_fract_z
_atom_site_occupancy
In1 0.000 0.000 0.000 1
Ag1 0.000 0.000 0.500 1
I1 0.197 0.750 0.625 1



Entry 2:
# GGA-PBEsol P2C, relaxed
# Crystal system: trigonal
# Formation enthalpy at 0 K: 621 meV per atom
# Polymorph energy (0 for the lowest one): 0 meV per atom
# Total energy: -6.454 eV per atom
data_P2C
_chemical_formula_sum 'P6 C3'
_cell_length_a 2.7969
_cell_length_b 2.7969
_cell_length_c 18.6447
_cell_angle_alpha 90.00
_cell_angle_beta 90.00
_cell_angle_gamma 120.00
_symmetry_space_group_name_H-M 'P -3 m 1'
_symmetry_Int_Tables_number 164
_symmetry_space_group_name_Hall '-P 3 2"'
loop_
_atom_site_label
_atom_site_fract_x
_atom_site_fract_y
_atom_site_fract_z
_atom_site_occupancy
P1 0.0000 0.0000 0.1154 1
P2 0.3333 0.6667 0.5678 1
P3 0.3333 0.6667 0.7383 1
C1 0.0000 0.0000 0.5000 1
C2 0.3333 0.6667 0.8371 1



Entry 3:
# GGA-PBEsol Hf2AlZn2, relaxed
# Crystal system: tetragonal
# Formation enthalpy at 0 K: -298 meV per atom
# Total energy: -5.950 eV per atom
data_Hf2AlZn2
_chemical_formula_sum 'Hf4 Al2 Zn4'
_cell_length_a 6.491
_cell_length_b 6.491
_cell_length_c 4.071
_cell_angle_alpha 90.00
_cell_angle_beta 90.00
_cell_angle_gamma 90.00
_symmetry_space_group_name_H-M 'P 4/m b m'
_symmetry_Int_Tables_number 127
_symmetry_space_group_name_Hall '-P 4 2ab'
loop_
_atom_site_label
_atom_site_fract_x
_atom_site_fract_y
_atom_site_fract_z
_atom_site_occupancy
Hf1 0.169 0.331 0.000 1
Al1 0.000 0.000 0.500 1
Zn1 0.132 0.632 0.500 1



Entry 4:
# GGA-PBEsol Ba2SrMn, relaxed
# Crystal system: trigonal
# Formation enthalpy at 0 K: 532 meV per atom
# Polymorph energy (0 for the lowest one): 0 meV per atom
# Total energy: -3.443 eV per atom
data_Ba2SrMn
_chemical_formula_sum 'Ba6 Sr3 Mn3'
_cell_length_a 4.2117
_cell_length_b 4.2117
_cell_length_c 35.3499
_cell_angle_alpha 90.00
_cell_angle_beta 90.00
_cell_angle_gamma 120.00
_symmetry_space_group_name_H-M 'R -3 m'
_symmetry_Int_Tables_number 166
_symmetry_space_group_name_Hall '-R 3 2"'
loop_
_atom_site_label
_atom_site_fract_x
_atom_site_fract_y
_atom_site_fract_z
_atom_site_occupancy
Ba1 0.0000 0.0000 0.2289 1
Sr1 0.0000 0.0000 0.0000 1
Mn1 0.0000 0.0000 0.5000 1



Entry 5:
# GGA-PBEsol ZrCrNi2B, relaxed
# Crystal system: tetragonal
# Formation enthalpy at 0 K: 156 meV per atom
# Total energy: -7.576 eV per atom
data_ZrCrNi2B
_chemical_formula_sum 'Zr1 Cr1 Ni2 B1'
_cell_length_a 3.774
_cell_length_b 3.774
_cell_length_c 4.503
_cell_angle_alpha 90.00
_cell_angle_beta 90.00
_cell_angle_gamma 90.00
_symmetry_space_group_name_H-M 'P 4/m m m'
_symmetry_Int_Tables_number 123
_symmetry_space_group_name_Hall '-P 4 2'
loop_
_atom_site_label
_atom_site_fract_x
_atom_site_fract_y
_atom_site_fract_z
_atom_site_occupancy
Zr1 0.000 0.000 0.000 1
Cr1 0.500 0.500 0.000 1
Ni1 0.000 0.500 0.500 1
B1 0.000 0.000 0.500 1



Entry 6:
# GGA-PBEsol Er3Pd2, relaxed
# Crystal system: tetragonal
# Formation enthalpy at 0 K: -747 meV per atom
# Total energy: -6.087 eV per atom
data_Er3Pd2
_chemical_formula_sum 'Er6 Pd4'
_cell_length_a 7.580
_cell_length_b 7.580
_cell_length_c 3.867
_cell_angle_alpha 90.00
_cell_angle_beta 90.00
_cell_angle_gamma 90.00
_symmetry_space_group_name_H-M 'P 4/m b m'
_symmetry_Int_Tables_number 127
_symmetry_space_group_name_Hall '-P 4 2ab'
loop_
_atom_site_label
_atom_site_fract_x
_atom_site_fract_y
_atom_site_fract_z
_atom_site_occupancy
Er1 0.000 0.000 0.000 1
Er2 0.165 0.335 0.500 1
Pd1 0.133 0.633 0.000 1



Entry 7:
# GGA-PBEsol BaTe2Au, relaxed
# Crystal system: monoclinic
# Polymorph energy (0 for the lowest one): 10 meV per atom
# Total energy: -4.108 eV per atom
data_BaTe2Au
_chemical_formula_sum 'Ba2 Te4 Au2'
_cell_length_a 12.927
_cell_length_b 4.605
_cell_length_c 4.605
_cell_angle_alpha 90.00
_cell_angle_beta 110.61
_cell_angle_gamma 90.00
_symmetry_space_group_name_H-M 'C 1 m 1'
_symmetry_Int_Tables_number 8
loop_
_symmetry_equiv_pos_as_xyz
'x,y,z'
'x,-y,z'
'x+1/2,y+1/2,z'
'x+1/2,-y+1/2,z'
loop_
_atom_site_label
_atom_site_fract_x
_atom_site_fract_y
_atom_site_fract_z
_atom_site_occupancy
Ba1 0.000 0.000 0.000 1
Te1 0.133 0.500 0.635 1
Te2 0.367 0.000 0.365 1
Au1 0.250 0.000 0.750 1



Entry 8:
# GGA-PBEsol Rb2As3, relaxed
# Crystal system: orthorhombic
# Formation enthalpy at 0 K: -379 meV per atom
# Total energy: -3.852 eV per atom
data_Rb2As3
_chemical_formula_sum 'Rb16 As24'
_cell_length_a 9.062
_cell_length_b 10.073
_cell_length_c 15.104
_cell_angle_alpha 90.00
_cell_angle_beta 90.00
_cell_angle_gamma 90.00
_symmetry_space_group_name_H-M 'F m m m'
_symmetry_Int_Tables_number 69
_symmetry_space_group_name_Hall '-F 2 2'
loop_
_atom_site_label
_atom_site_fract_x
_atom_site_fract_y
_atom_site_fract_z
_atom_site_occupancy
Rb1 0.000 0.240 0.000 1
Rb2 0.250 0.250 0.250 1
As1 0.000 0.000 0.340 1
As2 0.229 0.000 0.421 1